Entry 1:
VASP calculation (PBE-GGA) on a geometry-optimized BaTlTc2 structure.

Structure (POSCAR):
```
BaTlTc2
1.0
3.2110 0.0000 0.0000
0.0000 4.4511 0.0000
0.0000 0.0000 7.0210
Ba Tl Tc
1 1 2
Direct
0.0000 0.0000 0.0000 Ba
0.0000 0.0000 0.5000 Tl
0.5000 0.5000 0.3432 Tc
0.5000 0.5000 0.6568 Tc
```

* energy above the most stable polymorph in this dataset: 499 meV per atom
* E_tot: -21.8 eV for the cell shown
* M_tot: 0.00 μB/f.u.

***

Entry 2:
VASP calculation (PBE-GGA) on a geometry-optimized FeMo structure.

Structure (POSCAR):
```
FeMo
1.0
2.6957 0.0000 0.0000
-1.3479 2.3346 0.0000
0.0000 0.0000 4.2295
Fe Mo
1 1
Direct
0.0000 0.0000 0.0000 Fe
0.3333 0.6667 0.5000 Mo
```

* E_tot: -18.7 eV for the cell shown
* M_tot: 0.11 μB/f.u.

***

Calculated energy relative to the elements (eV/atom), listed in the same order as above: 0.8095, 0.3086